No. 1
# HgWSe2 (PBE, optimized geometry)
# SG = No. 166
# Total magnetization = 0.0 μB/cell
# Raw formation energy = -0.23 eV/atom
data_HgWSe2
_cell_length_a 10.188
_cell_length_b 10.188
_cell_length_c 10.188
_cell_angle_alpha 18.65
_cell_angle_beta 18.65
_cell_angle_gamma 18.65
_symmetry_space_group_name_H-M 'P 1'
_symmetry_Int_Tables_number 1
loop_
_symmetry_equiv_pos_as_xyz
'x,y,z'
loop_
_atom_site_label
_atom_site_fract_x
_atom_site_fract_y
_atom_site_fract_z
_atom_site_occupancy
Hg1 0.000 0.000 0.000 1
W1 0.500 0.500 0.500 1
Se1 0.224 0.224 0.224 1
Se2 0.776 0.776 0.776 1



No. 2
# BeHgAu (PBE, optimized geometry)
# SG = No. 156
# Energy above the lowest structure with this stoichiometry = 22.2 kJ/mol of atoms
# Total magnetization = 0.0 μB/cell
# ΔE_f = 0.204 eV/atom
data_BeHgAu
_cell_length_a 4.042
_cell_length_b 4.042
_cell_length_c 3.812
_cell_angle_alpha 90.00
_cell_angle_beta 90.00
_cell_angle_gamma 120.00
_symmetry_space_group_name_H-M 'P 1'
_symmetry_Int_Tables_number 1
loop_
_symmetry_equiv_pos_as_xyz
'x,y,z'
loop_
_atom_site_label
_atom_site_fract_x
_atom_site_fract_y
_atom_site_fract_z
_atom_site_occupancy
Be1 0.000 0.000 0.000 1
Hg1 0.333 0.667 0.493 1
Au1 0.667 0.333 0.992 1